Here is a relaxed TmCd2Ag5 crystal from the Alexandria database. Energies are from PBE.

Computed properties:
Electronic total energy in Ry per atom: -0.1975
Energy above the lowest structure with this stoichiometry in meV/atom: 0.0
Energy of formation in meV/atom: -118

Unit cell a=7.9420 b=7.9147 c=4.6854 alpha=73.13 beta=72.50 gamma=34.37
With the nearest neighbours (Å) after each atom.
Fractional coordinates of all 8 atoms:
Tm 0.0000 0.0000 0.0000  10 Ag 2.98-3.28
Cd 0.2515 0.2515 0.7485  8 Ag 2.92-2.94
Cd 0.7485 0.7485 0.2515  8 Ag 2.92-2.94
Ag 0.1278 0.1278 0.3722  4 Cd 2.92-2.94, 2 Tm 2.98, 2 Ag 2.98
Ag 0.3722 0.3722 0.1278  4 Cd 2.92-2.94, 2 Tm 2.98, 2 Ag 2.98
Ag 0.5000 0.5000 0.5000  8 Ag 2.98, 2 Tm 3.28
Ag 0.6278 0.6278 0.8722  4 Cd 2.92-2.94, 2 Tm 2.98, 2 Ag 2.98
Ag 0.8722 0.8722 0.6278  4 Cd 2.92-2.94, 2 Tm 2.98, 2 Ag 2.98

=====

Here is a relaxed TmCd4Ag crystal from the Alexandria database. Energies are from PBE.

Computed properties:
Electronic total energy in Ry per atom: -0.1290
Energy above the lowest structure with this stoichiometry in meV/atom: 231.3
Energy of formation in meV/atom: 76

Unit cell a=6.1398 b=6.1398 c=10.1589 alpha=90.00 beta=90.00 gamma=62.36
With the nearest neighbours (Å) after each atom.
Fractional coordinates of all 12 atoms:
Tm 0.0002 0.9998 0.2500  8 Cd 3.05-3.07, 2 Ag 3.18
Tm 0.9998 0.0002 0.7500  8 Cd 3.05-3.07, 2 Ag 3.18
Cd 0.0008 0.4995 0.2500  2 Ag 3.07, 2 Tm 3.07, 2 Cd 3.18
Cd 0.2666 0.7333 0.0000  2 Ag 2.94, 1 Cd 2.97, 2 Tm 3.05
Cd 0.2666 0.7333 0.5000  2 Ag 2.94, 1 Cd 2.97, 2 Tm 3.05
Cd 0.4995 0.0008 0.7500  2 Ag 3.07, 2 Tm 3.07, 2 Cd 3.18
Cd 0.5005 0.9992 0.2500  2 Ag 3.07, 2 Tm 3.07, 2 Cd 3.18
Cd 0.7333 0.2666 0.0000  2 Ag 2.94, 1 Cd 2.97, 2 Tm 3.05
Cd 0.7333 0.2666 0.5000  2 Ag 2.94, 1 Cd 2.97, 2 Tm 3.05
Cd 0.9992 0.5005 0.7500  2 Ag 3.07, 2 Tm 3.07, 2 Cd 3.18
Ag 0.5002 0.4998 0.2500  8 Cd 2.94-3.07, 2 Tm 3.18
Ag 0.4998 0.5002 0.7500  8 Cd 2.94-3.07, 2 Tm 3.18

=====

Here is a relaxed Tm3Cd2Ag6 crystal from the Alexandria database. Energies are from PBE.

Computed properties:
Electronic total energy in Ry per atom: -0.2224
Energy of formation in meV/atom: -84

Unit cell a=16.5879 b=16.5879 c=16.5879 alpha=166.47 beta=166.47 gamma=19.18
With the nearest neighbours (Å) after each atom.
Fractional coordinates of all 11 atoms:
Tm 0.0000 0.0000 0.0000  8 Ag 3.04
Tm 0.1823 0.1823 0.0000  5 Ag 2.96-3.13, 4 Cd 3.14
Tm 0.8177 0.8177 0.0000  5 Ag 2.96-3.13, 4 Cd 3.14
Cd 0.3633 0.3633 0.0000  5 Ag 2.90-2.96, 4 Tm 3.14
Cd 0.6367 0.6367 0.0000  5 Ag 2.90-2.96, 4 Tm 3.14
Ag 0.0713 0.5713 0.5000  4 Ag 2.76, 2 Cd 2.90, 2 Tm 3.04
Ag 0.2728 0.2728 0.0000  5 Tm 2.96-3.13, 1 Cd 2.96, 4 Ag 3.14
Ag 0.4287 0.9287 0.5000  4 Ag 2.76, 2 Cd 2.90, 2 Tm 3.04
Ag 0.5713 0.0713 0.5000  4 Ag 2.76, 2 Cd 2.90, 2 Tm 3.04
Ag 0.7272 0.7272 0.0000  5 Tm 2.96-3.13, 1 Cd 2.96, 4 Ag 3.14
Ag 0.9287 0.4287 0.5000  4 Ag 2.76, 2 Cd 2.90, 2 Tm 3.04

=====

Here is a relaxed TmZnCdAg crystal from the Alexandria database. Energies are from PBE.

Computed properties:
Electronic total energy in Ry per atom: -0.1956
Energy of formation in meV/atom: -283

Unit cell a=4.8395 b=4.8395 c=4.8395 alpha=60.00 beta=60.00 gamma=60.00
With the nearest neighbours (Å) after each atom.
Fractional coordinates of all 4 atoms:
Tm 0.0000 0.0000 0.0000  4 Ag 2.96, 4 Zn 2.96
Zn 0.2500 0.2500 0.2500  4 Cd 2.96, 4 Tm 2.96
Cd 0.5000 0.5000 0.5000  4 Ag 2.96, 4 Zn 2.96
Ag 0.7500 0.7500 0.7500  4 Cd 2.96, 4 Tm 2.96

=====

Here is a relaxed TmZrCdAg crystal from the Alexandria database. Energies are from PBE.

Computed properties:
Electronic total energy in Ry per atom: -0.3167
Energy of formation in meV/atom: -113

Unit cell a=5.0407 b=5.0407 c=5.0407 alpha=60.00 beta=60.00 gamma=60.00
With the nearest neighbours (Å) after each atom.
Fractional coordinates of all 4 atoms:
Tm 0.0000 0.0000 0.0000  4 Cd 3.09, 4 Ag 3.09
Zr 0.5000 0.5000 0.5000  4 Ag 3.09, 4 Cd 3.09
Cd 0.2500 0.2500 0.2500  4 Zr 3.09, 4 Tm 3.09
Ag 0.7500 0.7500 0.7500  4 Zr 3.09, 4 Tm 3.09

=====

Here is a relaxed UCdAg4 crystal from the Alexandria database. Energies are from PBE.

Computed properties:
Electronic total energy in Ry per atom: -0.2752
Energy of formation in meV/atom: 191

Unit cell a=5.6020 b=5.6020 c=5.6020 alpha=60.00 beta=60.00 gamma=60.00
With the nearest neighbours (Å) after each atom.
Fractional coordinates of all 6 atoms:
U 0.0000 0.0000 0.0000  12 Ag 3.29, 4 Cd 3.43
Cd 0.7500 0.7500 0.7500  12 Ag 3.28, 4 U 3.43
Ag 0.3756 0.3756 0.3756  6 Ag 2.79-2.81
Ag 0.3756 0.3756 0.8733  6 Ag 2.79-2.81
Ag 0.3756 0.8733 0.3756  6 Ag 2.79-2.81
Ag 0.8733 0.3756 0.3756  6 Ag 2.79-2.81

=====

Here is a relaxed UCdAg crystal from the Alexandria database. Energies are from PBE.

Computed properties:
Electronic total energy in Ry per atom: -0.3576
Energy of formation in meV/atom: 152

Unit cell a=2.9691 b=2.9691 c=8.1942 alpha=90.00 beta=90.00 gamma=120.00
With the nearest neighbours (Å) after each atom.
Fractional coordinates of all 3 atoms:
U 0.0000 0.0000 0.0000  6 U 2.97, 3 Ag 3.27
Cd 0.3333 0.6667 0.6477  6 Cd 2.97, 3 Ag 3.05
Ag 0.6667 0.3333 0.3394  6 Ag 2.97, 3 Cd 3.05, 3 U 3.27

=====

Here is a relaxed UCdAg crystal from the Alexandria database. Energies are from PBE.

Computed properties:
Electronic total energy in Ry per atom: -0.3534
Energy of formation in meV/atom: 210

Unit cell a=3.5632 b=3.5632 c=13.2917 alpha=99.02 beta=99.02 gamma=54.36
With the nearest neighbours (Å) after each atom.
Fractional coordinates of all 6 atoms:
U 0.1747 0.1747 0.0590  3 U 2.48-2.56
U 0.8253 0.8253 0.9410  3 U 2.48-2.56
Cd 0.3082 0.3082 0.4094  3 Ag 2.94-2.95, 5 Cd 3.10-3.26
Cd 0.6918 0.6918 0.5906  3 Ag 2.94-2.95, 5 Cd 3.10-3.26
Ag 0.4346 0.4346 0.7553  3 Cd 2.94-2.95, 3 U 3.13-3.17, 2 Ag 3.26
Ag 0.5654 0.5654 0.2447  3 Cd 2.94-2.95, 3 U 3.13-3.17, 2 Ag 3.26

=====

Which of these has the highest energy of formation? number 8

=====

Which formula does entry 7 have? UCdAg

=====

Please write out number 5 again, unchanged.
Here is a relaxed TmZrCdAg crystal from the Alexandria database. Energies are from PBE.

Computed properties:
Electronic total energy in Ry per atom: -0.3167
Energy of formation in meV/atom: -113

Unit cell a=5.0407 b=5.0407 c=5.0407 alpha=60.00 beta=60.00 gamma=60.00
With the nearest neighbours (Å) after each atom.
Fractional coordinates of all 4 atoms:
Tm 0.0000 0.0000 0.0000  4 Cd 3.09, 4 Ag 3.09
Zr 0.5000 0.5000 0.5000  4 Ag 3.09, 4 Cd 3.09
Cd 0.2500 0.2500 0.2500  4 Zr 3.09, 4 Tm 3.09
Ag 0.7500 0.7500 0.7500  4 Zr 3.09, 4 Tm 3.09

=====

Which value of energy of formation does entry 8 give? 210 meV/atom